{
  "formula": "Y8CuTe4As3",
  "functional": "GGA-PBE",
  "state": "optimized geometry",
  "cell": [[-2.598, 5.611, -5.717], [-6.343, -5.276, -2.296], [0.784, 2.269, 8.073]],
  "species": ["Y", "Te", "Y", "As", "As", "Y", "Y", "Cu", "As", "Y", "Te", "Y", "Te", "Te", "Y", "Y"],
  "fractional_positions": [[0.238, 0.720, 0.982], [0.500, 0.000, 0.000], [0.739, 0.718, 0.478], [0.500, 0.500, 0.500], [0.000, 0.500, 0.500], [0.238, 0.720, 0.477], [0.261, 0.282, 0.522], [0.000, 0.500, 0.000], [0.500, 0.500, 0.000], [0.256, 0.280, 0.018], [0.000, 0.000, 0.500], [0.762, 0.280, 0.018], [0.000, 0.000, 0.000], [0.500, 0.000, 0.500], [0.762, 0.280, 0.523], [0.744, 0.720, 0.982]],
  "dft_energy_ry_per_atom": -0.4744,
  "raw_formation_energy_ev_per_fu": -20.9,
  "rho_g_cm3": 5.79
}



{
  "formula": "Tb2CuHPt6",
  "functional": "GGA-PBE",
  "state": "optimized geometry",
  "cell": [[5.610, 0.026, -0.022], [-0.035, 6.906, -0.937], [2.807, 2.824, 3.951]],
  "species": ["Pt", "Pt", "H", "Tb", "Pt", "Pt", "Cu", "Tb", "Pt", "Pt"],
  "fractional_positions": [[0.726, 0.190, 0.041], [0.768, 0.810, 0.464], [0.000, 0.000, 0.000], [0.787, 0.360, 0.426], [0.232, 0.190, 0.536], [0.232, 0.190, 0.041], [0.500, 0.500, 0.000], [0.213, 0.640, 0.574], [0.274, 0.810, 0.959], [0.768, 0.810, 0.959]],
  "dft_energy_ry_per_atom": -0.4411,
  "rho_g_cm3": 15.32
}